(1)
Material: LaTbPr2
Method: DFT, PBE
State: relaxed

a b c (Å): 3.6852 3.6852 10.4424
angles (deg): 90.00 90.00 90.00
With the nearest neighbours (Å) after each atom.
Space group P4/mmm (No. 123)
One atom of each set of equivalent atoms:
La 0.0000 0.0000 0.0000  4 La 3.69, 8 Pr 3.73
Tb 0.0000 0.0000 0.5000  8 Pr 3.64, 4 Tb 3.69
Pr 0.5000 0.5000 0.2560  4 Tb 3.64, 4 Pr 3.69, 4 La 3.73

Calculated values
Its relative energy among the computed polymorphs is 0.5 kJ per mole of atoms. The calculation puts the calculated total energy at -19.04 eV per cell. The calculation puts the formation energy at 2 kJ per mole of atoms.

***

(2)
Material: La5Tb8Pr
Method: DFT, PBE
State: relaxed

a b c (Å): 17.6803 3.5832 17.0789
angles (deg): 90.00 118.12 90.00
With the nearest neighbours (Å) after each atom.
Space group C2/m (No. 12)
One atom of each set of equivalent atoms:
La 0.0000 0.0000 0.0000  6 Tb 3.45-3.82, 6 La 3.58-3.64
La 0.1440 0.5000 0.9397  6 Tb 3.41-3.76, 6 La 3.58-3.77
La 0.2120 0.5000 0.6438  2 Tb 3.20-3.38, 1 Pr 3.38
Tb 0.0759 0.0000 0.7230  7 Tb 3.57-3.75, 4 La 3.73-3.76, 2 Pr 3.83
Tb 0.0801 0.5000 0.2226  8 Tb 3.58-3.75, 5 La 3.61-3.82
Tb 0.1462 0.0000 0.4365  3 La 3.38-3.63, 7 Tb 3.57-3.73, 2 Pr 3.70
Tb 0.2165 0.0000 0.1460  3 La 3.20-3.45
Pr 0.0000 0.5000 0.5000  2 La 3.38, 2 Pr 3.58, 4 Tb 3.70

Calculated values
The calculation puts the calculated total energy at -131.47 eV per cell. The calculation puts the formation energy at 5 kJ per mole of atoms.

***

(3)
Material: La5Tb4Pr2
Method: DFT, PBE
State: relaxed

a b c (Å): 3.5874 9.3915 23.8632
angles (deg): 90.00 90.00 90.00
With the nearest neighbours (Å) after each atom.
Space group Immm (No. 71)
One atom of each set of equivalent atoms:
La 0.0000 0.0000 0.0000  4 Tb 3.45, 2 La 3.59
La 0.0000 0.3007 0.3553  1 Pr 3.49, 3 Tb 3.54-3.62, 3 La 3.59-3.74
Tb 0.0000 0.1864 0.5000  7 Tb 3.39-3.59, 4 La 3.45-3.62
Tb 0.0000 0.5000 0.0959  1 Pr 3.24, 6 Tb 3.39-3.59, 4 La 3.54
Pr 0.0000 0.5000 0.2319  1 Tb 3.24, 2 La 3.49, 2 Pr 3.59

Calculated values
Its relative energy among the computed polymorphs is 8.7 kJ per mole of atoms. The calculation puts the calculated total energy at -101.95 eV per cell. The calculation puts the formation energy at 15 kJ per mole of atoms.

***

- Which value of calculated total energy does entry 2 give?
  -131.47 eV per cell

***

- Look up the calculated total energy of the first one.
  -19.04 eV per cell

***

- Which of these has the lowest calculated total energy?
  La5Tb8Pr